No. 1
# Li6CdPd6

A relaxed Li6CdPd6 crystal (GGA-PBE, the Alexandria database).

Unit cell a=4.9678 b=4.9678 c=8.6343 alpha=90.00 beta=90.00 gamma=120.04
Atoms (fractional coordinates):
Li 0.0000 0.5000 0.7506
Li 0.5000 0.0000 0.7506
Li 0.5000 0.5000 0.7508
Li 0.5000 0.0000 0.2494
Li 0.0000 0.5000 0.2494
Li 0.5000 0.5000 0.2492
Cd 0.0000 0.0000 0.0000
Pd 0.0000 0.0000 0.6503
Pd 0.0000 0.0000 0.3497
Pd 0.3333 0.6667 0.0000
Pd 0.6667 0.3333 0.0000
Pd 0.3334 0.6666 0.5000
Pd 0.6666 0.3334 0.5000

Output
- total energy (eV per atom) = -3.6631
- M_tot (μB per cell) = 0.00
- calculated volume (A^3/atom) = 14.19
- space-group type = P6/mmm, No. 191
- DOS at the Fermi energy (states/eV per atom) = 0.47



No. 2
# LaTbPrLu

A relaxed LaTbPrLu crystal (GGA-PBE, the Alexandria database).

Unit cell a=5.7670 b=5.7670 c=5.7670 alpha=60.00 beta=60.00 gamma=60.00
Atoms (fractional coordinates):
Pr 0.7500 0.7500 0.7500
Lu 0.5000 0.5000 0.5000
Tb 0.0000 0.0000 0.0000
La 0.2500 0.2500 0.2500

Output
- total energy (eV per atom) = -4.6264
- M_tot (μB per cell) = 0.00
- calculated volume (A^3/atom) = 33.91
- space-group type = F-43m, No. 216
- DOS at the Fermi energy (states/eV per atom) = 1.70



Which of these has the lowest DOS at the Fermi energy? Li6CdPd6



M_tot of number 1 (Li6CdPd6)? 0.00 μB per cell